First-principles (PBE-GGA) data for a geometry-optimized La2PuTc2 structure, as listed in Alexandria.

## Properties
Electronic total energy, eV/atom: -9.05
N(E_F), states/eV/atom: 1.4539

```
data_La2PuTc2
_chemical_formula_sum 'La2 Pu1 Tc2'
_space_group_name_H-M_alt 'P 1'
_space_group_IT_number 1
_cell_length_a 6.154
_cell_length_b 6.154
_cell_length_c 6.154
_cell_angle_alpha 139.30
_cell_angle_beta 124.89
_cell_angle_gamma 70.72
loop_
_space_group_symop_operation_xyz
'x,y,z'
loop_
_atom_site_label
_atom_site_type_symbol
_atom_site_fract_x
_atom_site_fract_y
_atom_site_fract_z
La1 La 0.195 0.195 0.000
La2 La 0.805 0.805 0.000
Pu1 Pu 0.500 0.000 0.500
Tc1 Tc 0.251 0.500 0.751
Tc2 Tc 0.749 0.500 0.249
```

---

First-principles (PBE-GGA) data for a geometry-optimized AgSbTe2S structure, as listed in Alexandria.

## Properties
Formation energy without anion corrections, eV/atom: 0.59
Excess energy over the best structure of this formula in the dataset, meV/atom: 0
Electronic total energy, eV/atom: -2.89
N(E_F), states/eV/atom: 0.9075

```
data_AgSbTe2S
_chemical_formula_sum 'Ag1 Sb1 Te2 S1'
_space_group_name_H-M_alt 'P 1'
_space_group_IT_number 1
_cell_length_a 5.278
_cell_length_b 5.278
_cell_length_c 5.241
_cell_angle_alpha 90.00
_cell_angle_beta 90.00
_cell_angle_gamma 90.00
loop_
_space_group_symop_operation_xyz
'x,y,z'
loop_
_atom_site_label
_atom_site_type_symbol
_atom_site_fract_x
_atom_site_fract_y
_atom_site_fract_z
Ag1 Ag 0.000 0.000 0.000
Sb1 Sb 0.500 0.500 0.000
Te1 Te 0.000 0.500 0.500
Te2 Te 0.500 0.000 0.500
S1 S 0.500 0.500 0.500
```

---

First-principles (PBE-GGA) data for a geometry-optimized SbS4I structure, as listed in Alexandria.

## Properties
Formation energy without anion corrections, eV/atom: -0.09
Electronic total energy, eV/atom: -3.78
N(E_F), states/eV/atom: 0.0000

```
data_SbS4I
_chemical_formula_sum 'Sb2 S8 I2'
_space_group_name_H-M_alt 'P 1'
_space_group_IT_number 1
_cell_length_a 6.329
_cell_length_b 6.452
_cell_length_c 12.712
_cell_angle_alpha 85.88
_cell_angle_beta 84.46
_cell_angle_gamma 73.61
loop_
_space_group_symop_operation_xyz
'x,y,z'
loop_
_atom_site_label
_atom_site_type_symbol
_atom_site_fract_x
_atom_site_fract_y
_atom_site_fract_z
Sb1 Sb 0.093 0.107 0.161
Sb2 Sb 0.907 0.893 0.839
S1 S 0.144 0.015 0.352
S2 S 0.314 0.738 0.806
S3 S 0.393 0.832 0.651
S4 S 0.486 0.905 0.344
S5 S 0.514 0.095 0.656
S6 S 0.607 0.168 0.349
S7 S 0.686 0.262 0.194
S8 S 0.856 0.985 0.648
I1 I 0.114 0.687 0.095
I2 I 0.886 0.313 0.905
```

---

First-principles (PBE-GGA) data for a geometry-optimized ZrCuPt2 structure, as listed in Alexandria.

## Properties
Electronic total energy, eV/atom: -6.54
N(E_F), states/eV/atom: 0.8247

```
data_ZrCuPt2
_chemical_formula_sum 'Zr2 Cu2 Pt4'
_space_group_name_H-M_alt 'P 1'
_space_group_IT_number 1
_cell_length_a 5.753
_cell_length_b 5.753
_cell_length_c 5.753
_cell_angle_alpha 103.59
_cell_angle_beta 103.59
_cell_angle_gamma 122.02
loop_
_space_group_symop_operation_xyz
'x,y,z'
loop_
_atom_site_label
_atom_site_type_symbol
_atom_site_fract_x
_atom_site_fract_y
_atom_site_fract_z
Zr1 Zr 0.000 0.000 0.000
Zr2 Zr 0.750 0.250 0.500
Cu1 Cu 0.250 0.750 0.500
Cu2 Cu 0.500 0.500 0.000
Pt1 Pt 0.139 0.625 0.014
Pt2 Pt 0.375 0.389 0.514
Pt3 Pt 0.611 0.125 0.986
Pt4 Pt 0.875 0.861 0.486
```